[1]
Entry from Alexandria: a relaxed structure of CeSi2Tc5 (PBE).

a b c (Å): 3.1743 7.6900 10.4046
angles (deg): 90.00 90.00 90.00
With the nearest neighbours (Å) after each atom.
Positions (direct):
Ce 0.0000 0.0000 0.0000  4 Si 3.05, 8 Tc 3.14, 2 Ce 3.17
Ce 0.5000 0.5000 0.5000  4 Si 3.05, 8 Tc 3.14, 2 Ce 3.17
Si 0.0000 0.5000 0.2500  7 Tc 2.50-2.60
Si 0.0000 0.5000 0.7500  7 Tc 2.50-2.60
Si 0.5000 0.0000 0.2500  7 Tc 2.50-2.60
Si 0.5000 0.0000 0.7500  7 Tc 2.50-2.60
Tc 0.0000 0.2064 0.3561  3 Si 2.50-2.51, 4 Tc 2.70-2.80
Tc 0.0000 0.2064 0.6439  3 Si 2.50-2.51, 4 Tc 2.70-2.80
Tc 0.0000 0.5000 0.0000  2 Si 2.60, 8 Tc 2.70
Tc 0.0000 0.7936 0.3561  3 Si 2.50-2.51, 4 Tc 2.70-2.80
Tc 0.0000 0.7936 0.6439  3 Si 2.50-2.51, 4 Tc 2.70-2.80
Tc 0.5000 0.0000 0.5000  2 Si 2.60, 8 Tc 2.70
Tc 0.5000 0.2936 0.1439  3 Si 2.50-2.51, 4 Tc 2.70-2.80
Tc 0.5000 0.2936 0.8561  3 Si 2.50-2.51, 4 Tc 2.70-2.80
Tc 0.5000 0.7064 0.1439  3 Si 2.50-2.51, 4 Tc 2.70-2.80
Tc 0.5000 0.7064 0.8561  3 Si 2.50-2.51, 4 Tc 2.70-2.80

Calculated values
E_form (uncorrected): -0.28 eV per atom
mass density: 8.97 g/cm³
SG: Immm (71)

[2]
Entry from Alexandria: a relaxed structure of CaInGe2Pt5 (PBE).

a b c (Å): 4.0765 4.0765 11.3583
angles (deg): 90.00 90.00 90.00
With the nearest neighbours (Å) after each atom.
Positions (direct):
Ca 0.0000 0.0000 0.0000  4 Pt 2.88
In 0.0000 0.0000 0.5000  8 Pt 2.77
Ge 0.5000 0.5000 0.2117  5 Pt 2.41-2.47
Ge 0.5000 0.5000 0.7883  5 Pt 2.41-2.47
Pt 0.0000 0.5000 0.3345  2 Ge 2.47
Pt 0.0000 0.5000 0.6655  2 Ge 2.47
Pt 0.5000 0.0000 0.3345  2 Ge 2.47
Pt 0.5000 0.0000 0.6655  2 Ge 2.47
Pt 0.5000 0.5000 0.0000  2 Ge 2.41

Calculated values
energy relative to the elements: -548 meV/atom
mass density: 11.22 g/cm³
SG: P4/mmm (123)

[3]
Entry from Alexandria: a relaxed structure of KTlSi2 (PBE).

a b c (Å): 5.1878 5.1878 7.3632
angles (deg): 90.00 90.00 90.00
With the nearest neighbours (Å) after each atom.
Positions (direct):
K 0.0000 0.0000 0.0000  4 Tl 3.18, 4 Si 3.18
K 0.5000 0.5000 0.5000  4 Tl 3.18, 4 Si 3.18
Tl 0.0000 0.5000 0.2500  4 K 3.18, 4 Si 3.18
Tl 0.5000 0.0000 0.7500  4 K 3.18, 4 Si 3.18
Si 0.0000 0.0000 0.5000  4 Tl 3.18, 4 Si 3.18
Si 0.0000 0.5000 0.7500  4 K 3.18, 4 Si 3.18
Si 0.5000 0.0000 0.2500  4 K 3.18, 4 Si 3.18
Si 0.5000 0.5000 0.0000  4 Tl 3.18, 4 Si 3.18

Calculated values
E_form (uncorrected): 0.57 eV per atom
energy relative to the lowest polymorph listed for this composition: 459.9 meV/atom
mass density: 5.02 g/cm³
SG: I-4m2 (119)

[4]
Entry from Alexandria: a relaxed structure of Ca2InSn3Pd4 (PBE).

a b c (Å): 4.4804 4.4804 11.3034
angles (deg): 90.00 90.00 90.00
With the nearest neighbours (Å) after each atom.
Positions (direct):
Ca 0.0000 0.5000 0.2446  6 Sn 3.43-3.65, 8 Pd 3.43-3.56, 2 In 3.65
Ca 0.5000 0.0000 0.7554  6 Sn 3.43-3.65, 8 Pd 3.43-3.56, 2 In 3.65
In 0.0000 0.0000 0.5000  4 Pd 2.74
Sn 0.0000 0.5000 0.8710  5 Pd 2.62-2.67
Sn 0.5000 0.0000 0.1290  5 Pd 2.62-2.67
Sn 0.5000 0.5000 0.5000  4 Pd 2.74
Pd 0.0000 0.0000 0.0000  4 Sn 2.67
Pd 0.0000 0.5000 0.6396  3 Sn 2.62-2.74, 2 In 2.74
Pd 0.5000 0.0000 0.3604  3 Sn 2.62-2.74, 2 In 2.74
Pd 0.5000 0.5000 0.0000  4 Sn 2.67

Calculated values
energy relative to the elements: -660 meV/atom
mass density: 7.15 g/cm³
SG: P-4m2 (115)

[5]
Entry from Alexandria: a relaxed structure of RbCS3 (PBE).

a b c (Å): 4.4916 4.4916 4.4916
angles (deg): 90.00 90.00 90.00
With the nearest neighbours (Å) after each atom.
Positions (direct):
Rb 0.0000 0.0000 0.0000  12 S 3.18
C 0.5000 0.5000 0.5000  6 S 2.25
S 0.0000 0.5000 0.5000  2 C 2.25
S 0.5000 0.0000 0.5000  2 C 2.25
S 0.5000 0.5000 0.0000  2 C 2.25

Calculated values
E_form (uncorrected): 0.96 eV per atom
energy relative to the lowest polymorph listed for this composition: 1138.4 meV/atom
mass density: 3.55 g/cm³
SG: Pm-3m (221)

[6]
Entry from Alexandria: a relaxed structure of Cd3HgAu5 (PBE).

a b c (Å): 8.1619 8.1619 8.1619
angles (deg): 118.28 118.28 93.00
With the nearest neighbours (Å) after each atom.
Positions (direct):
Cd 0.1121 0.6121 0.7241  1 Cd 2.65, 2 Au 2.66
Cd 0.2500 0.2500 0.0000  2 Au 2.81
Cd 0.3879 0.1121 0.5000  1 Cd 2.65, 2 Au 2.66
Cd 0.6121 0.8879 0.5000  1 Cd 2.65, 2 Au 2.66
Cd 0.7500 0.7500 0.0000  2 Au 2.81
Cd 0.8879 0.3879 0.2759  1 Cd 2.65, 2 Au 2.66
Hg 0.2500 0.7500 0.5000  4 Au 2.73
Hg 0.7500 0.2500 0.5000  4 Au 2.73
Au 0.0000 0.0000 0.0000  2 Cd 2.81
Au 0.0690 0.1629 0.5000  1 Cd 2.66, 1 Hg 2.73, 1 Au 2.83
Au 0.1629 0.6629 0.0939  1 Cd 2.66, 1 Hg 2.73, 1 Au 2.83
Au 0.3371 0.4310 0.5000  1 Cd 2.66, 1 Hg 2.73, 1 Au 2.83
Au 0.4310 0.9310 0.0939  1 Cd 2.66, 1 Hg 2.73, 1 Au 2.83
Au 0.5000 0.5000 0.0000  2 Cd 2.81
Au 0.5690 0.0690 0.9061  1 Cd 2.66, 1 Hg 2.73, 1 Au 2.83
Au 0.6629 0.5690 0.5000  1 Cd 2.66, 1 Hg 2.73, 1 Au 2.83
Au 0.8371 0.3371 0.9061  1 Cd 2.66, 1 Hg 2.73, 1 Au 2.83
Au 0.9310 0.8371 0.5000  1 Cd 2.66, 1 Hg 2.73, 1 Au 2.83

Calculated values
energy relative to the elements: 94 meV/atom
mass density: 12.84 g/cm³
SG: I4/mcm (140)

[7]
Entry from Alexandria: a relaxed structure of Dy3Tm2Te8 (PBE).

a b c (Å): 8.7566 8.7566 7.4630
angles (deg): 106.02 106.02 59.20
With the nearest neighbours (Å) after each atom.
Positions (direct):
Dy 0.0000 0.0000 0.0000  6 Te 3.06-3.08
Dy 0.2574 0.7426 0.5000  6 Te 3.02-3.09
Dy 0.7426 0.2574 0.5000  6 Te 3.02-3.09
Tm 0.2502 0.2502 0.8310  6 Te 3.00-3.12
Tm 0.7498 0.7498 0.1690  6 Te 3.00-3.12
Te 0.1226 0.1226 0.4168  3 Dy 3.08-3.09, 1 Tm 3.09
Te 0.1254 0.6279 0.0866  2 Dy 3.06, 2 Tm 3.08-3.12
Te 0.3721 0.8746 0.9134  2 Dy 3.06, 2 Tm 3.08-3.12
Te 0.3827 0.3827 0.6067  1 Tm 3.00, 2 Dy 3.02
Te 0.6173 0.6173 0.3933  1 Tm 3.00, 2 Dy 3.02
Te 0.6279 0.1254 0.0866  2 Dy 3.06, 2 Tm 3.08-3.12
Te 0.8746 0.3721 0.9134  2 Dy 3.06, 2 Tm 3.08-3.12
Te 0.8774 0.8774 0.5832  3 Dy 3.08-3.09, 1 Tm 3.09

Calculated values
E_form (uncorrected): -1.23 eV per atom
mass density: 6.58 g/cm³
SG: C2/m (12)

[8]
Entry from Alexandria: a relaxed structure of AlZnW (PBE).

a b c (Å): 4.3711 4.3711 2.7094
angles (deg): 90.00 90.00 120.00
With the nearest neighbours (Å) after each atom.
Positions (direct):
Al 0.0000 0.0000 0.0000  3 Zn 2.52, 2 Al 2.71
Zn 0.6667 0.3333 0.0022  3 Al 2.52, 2 Zn 2.71
W 0.3333 0.6667 0.5010  2 W 2.71, 6 Zn 2.86-2.87, 6 Al 2.86-2.87

Calculated values
energy relative to the lowest polymorph listed for this composition: 0.0 meV/atom
energy relative to the elements: 122 meV/atom
mass density: 10.23 g/cm³
SG: P3m1 (156)